1.
Below is a geometry-optimized MgBe5 structure, with properties calculated at the PBE level.

Values from the calculation:
Offset from the most stable computed form (meV/atom): 172
DFT total energy (eV/atom): -3.143
E_form (meV per atom): 228
M_tot (μB/cell): 0.0

Geometry as POSCAR:
```
MgBe5
1.0
2.623 0.000 0.000
0.000 2.623 0.000
0.000 0.000 8.720
Mg Be
1 5
direct
0.500 0.500 0.500
0.000 0.000 0.000
0.000 0.000 0.726
0.000 0.000 0.274
0.500 0.500 0.139
0.500 0.500 0.861
```

---

2.
Below is a geometry-optimized Cs2Ge2PbO6 structure, with properties calculated at the PBE level.

Values from the calculation:
DFT total energy (eV/atom): -5.500
Energy relative to the elements, uncorrected (eV/f.u.): -16.1
M_tot (μB/cell): 0.0

Geometry as POSCAR:
```
Cs2Ge2PbO6
1.0
-3.902 5.048 0.195
-2.200 -5.795 1.510
4.408 3.198 5.428
Cs O Ge Pb
2 6 2 1
direct
0.707 0.414 0.122
0.293 0.586 0.878
0.243 0.486 0.266
0.225 0.984 0.741
0.760 0.984 0.741
0.240 0.016 0.259
0.775 0.016 0.259
0.757 0.514 0.734
0.088 0.176 0.267
0.912 0.824 0.733
0.500 0.000 0.500
```

---

3.
Below is a geometry-optimized PmGa6Co2 structure, with properties calculated at the PBE level.

Values from the calculation:
DFT total energy (eV/atom): -4.032
E_form (meV per atom): 93
M_tot (μB/cell): 0.0

Geometry as POSCAR:
```
PmGa6Co2
1.0
-1.027 -5.945 5.417
5.161 -6.250 0.187
5.185 -0.792 6.183
Co Ga Pm
4 12 2
direct
0.125 0.125 0.625
0.125 0.125 0.125
0.125 0.625 0.125
0.625 0.125 0.125
0.474 0.474 0.026
0.776 0.776 0.224
0.474 0.026 0.026
0.026 0.474 0.474
0.224 0.776 0.776
0.224 0.776 0.224
0.776 0.224 0.224
0.026 0.026 0.474
0.224 0.224 0.776
0.776 0.224 0.776
0.474 0.026 0.474
0.026 0.474 0.026
0.500 0.500 0.500
0.750 0.750 0.750
```

---

4.
Below is a geometry-optimized NiAg2Pb structure, with properties calculated at the PBE level.

Values from the calculation:
DFT total energy (eV/atom): -3.469
E_form (meV per atom): 329
M_tot (μB/cell): 0.0

Geometry as POSCAR:
```
NiAg2Pb
1.0
-5.024 0.438 0.359
1.537 -4.764 -0.709
0.193 -0.415 3.204
Ag Pb Ni
2 1 1
direct
0.000 0.000 0.000
0.500 0.500 0.000
0.000 0.500 0.500
0.500 0.000 0.500
```

---

5.
Below is a geometry-optimized ZrTcSCl2 structure, with properties calculated at the PBE level.

Values from the calculation:
Offset from the most stable computed form (meV/atom): 261
DFT total energy (eV/atom): -5.111
Energy relative to the elements, uncorrected (eV/f.u.): 1.2
M_tot (μB/cell): 0.0

Geometry as POSCAR:
```
ZrTcSCl2
1.0
-2.169 -2.984 2.899
0.454 -3.420 -3.180
4.088 -1.175 1.848
Zr Tc Cl S
1 1 2 1
direct
0.500 0.500 0.500
0.000 0.000 0.000
0.500 0.000 0.000
0.000 0.500 0.000
0.000 0.000 0.500
```

---

6.
Below is a geometry-optimized BaZrSc2Cd structure, with properties calculated at the PBE level.

Values from the calculation:
DFT total energy (eV/atom): -4.250
E_form (meV per atom): 560
M_tot (μB/cell): 0.1

Geometry as POSCAR:
```
BaZrSc2Cd
1.0
5.434 0.000 0.000
0.000 5.543 0.000
0.000 0.000 5.434
Ba Cd Zr Sc
1 1 1 2
direct
0.500 0.500 0.500
0.000 0.000 0.000
0.000 0.500 0.000
0.500 0.000 0.000
0.000 0.000 0.500
```

---

7.
Below is a geometry-optimized Sr2GeCl structure, with properties calculated at the PBE level.

Values from the calculation:
Offset from the most stable computed form (meV/atom): 321
DFT total energy (eV/atom): -3.356
Energy relative to the elements, uncorrected (eV/f.u.): -3.6
M_tot (μB/cell): 2.0

Geometry as POSCAR:
```
Sr2GeCl
1.0
6.828 0.000 0.000
0.000 6.828 0.000
3.414 3.414 7.213
Cl Ge Sr
2 2 4
direct
0.500 0.500 0.000
0.250 0.750 0.500
0.000 0.000 0.000
0.750 0.250 0.500
0.621 0.125 0.250
0.875 0.871 0.750
0.375 0.379 0.750
0.129 0.625 0.250
```

---

8.
Below is a geometry-optimized K2AlCu structure, with properties calculated at the PBE level.

Values from the calculation:
DFT total energy (eV/atom): -1.963
E_form (meV per atom): 545
M_tot (μB/cell): 0.0

Geometry as POSCAR:
```
K2AlCu
1.0
-2.472 -7.254 -0.701
3.290 1.705 5.098
-2.595 -0.833 1.982
K Cu Al
2 1 1
direct
0.500 0.000 0.500
0.000 0.000 0.000
0.500 0.500 0.000
0.000 0.500 0.500
```